# LaZnCrFeO6 PBE+U optimized geometry
data_LaZnCrFeO6
_chemical_formula_sum 'La2 Zn2 Cr2 Fe2 O12'
_space_group_name_H-M_alt 'P 1 c 1'
_space_group_IT_number 7
_cell_length_a 5.267
_cell_length_b 5.543
_cell_length_c 9.228
_cell_angle_alpha 90.00
_cell_angle_beta 123.55
_cell_angle_gamma 90.00
loop_
_space_group_symop_operation_xyz
'x,y,z'
'x,-y,z+1/2'
loop_
_atom_site_label
_atom_site_type_symbol
_atom_site_fract_x
_atom_site_fract_y
_atom_site_fract_z
_atom_site_occupancy
La1 La 0.000 0.219 0.000 1
Zn1 Zn 0.450 0.264 0.499 1
Cr1 Cr 0.738 0.266 0.252 1
Fe1 Fe 0.238 0.247 0.748 1
O1 O 0.033 0.498 0.805 1
O2 O 0.085 0.042 0.308 1
O3 O 0.413 0.491 0.679 1
O4 O 0.467 0.034 0.690 1
O5 O 0.573 0.258 0.011 1
O6 O 0.820 0.238 0.483 1
# * raw total energy: -135.11 eV for the cell shown